Entry 1:
This record from Alexandria describes CsBaIn after structural relaxation. The functional is PBE.

Properties
E above lowest polymorph	14	meV/atom
DOS at the Fermi energy	6.711	states/eV per cell
crystal system	tetragonal
DFT total energy	-1.9380	eV/atom
symmetry	No. 107

abc: 4.4484 4.4484 16.9746
angles: 90.00 90.00 90.00
Element x y z (fractional)
Cs1 0.0000 0.0000 0.0000
Cs2 0.5000 0.5000 0.5000
Ba1 0.0000 0.0000 0.7437
Ba2 0.5000 0.5000 0.2437
In1 0.0000 0.0000 0.3447
In2 0.5000 0.5000 0.8447


Entry 2:
This record from Alexandria describes CsBa2In2 after structural relaxation. The functional is PBE.

Properties
E above lowest polymorph	239	meV/atom
DOS at the Fermi energy	12.740	states/eV per cell
crystal system	tetragonal
DFT total energy	-2.0026	eV/atom
symmetry	No. 139

abc: 5.3019 5.3019 18.7748
angles: 90.00 90.00 90.00
Element x y z (fractional)
Cs1 0.0000 0.0000 0.0000
Cs2 0.5000 0.5000 0.5000
Ba1 0.0000 0.0000 0.3688
Ba2 0.0000 0.0000 0.6312
Ba3 0.5000 0.5000 0.1312
Ba4 0.5000 0.5000 0.8688
In1 0.0000 0.5000 0.2500
In2 0.0000 0.5000 0.7500
In3 0.5000 0.0000 0.2500
In4 0.5000 0.0000 0.7500


Entry 3:
This record from Alexandria describes Cs2BaIn2 after structural relaxation. The functional is PBE.

Properties
E above lowest polymorph	22	meV/atom
DOS at the Fermi energy	11.179	states/eV per cell
crystal system	tetragonal
DFT total energy	-1.7962	eV/atom
symmetry	No. 139

abc: 5.4619 5.4619 17.1981
angles: 90.00 90.00 90.00
Element x y z (fractional)
Cs1 0.0000 0.5000 0.2500
Cs2 0.0000 0.5000 0.7500
Cs3 0.5000 0.0000 0.2500
Cs4 0.5000 0.0000 0.7500
Ba1 0.0000 0.0000 0.0000
Ba2 0.5000 0.5000 0.5000
In1 0.0000 0.0000 0.4183
In2 0.0000 0.0000 0.5817
In3 0.5000 0.5000 0.0817
In4 0.5000 0.5000 0.9183